12
Lattice="6.970 0.000 0.000 0.000 4.779 0.000 -3.020 0.000 3.906" Properties=species:S:1:pos:R:3 comment="PBE CuTcB, relaxed" e_above_lowest_polymorph_mev_per_atom=0 total_magnetization_mub_per_cell=0.00 formation_enthalpy_0k_mev_per_atom=-94 total_energy_ry_per_atom=-0.5248 pbc="T T T"
Cu -0.326 0.000 1.929
Cu 0.791 2.390 1.977
Cu 3.159 2.390 1.929
Cu 4.276 0.000 1.977
Tc -1.560 2.390 3.268
Tc 2.025 0.000 0.638
Tc 1.925 0.000 3.268
Tc 5.510 2.390 0.638
B 0.000 0.883 0.000
B 0.000 3.896 0.000
B 3.485 1.507 0.000
B 3.485 3.272 0.000

***

20
Lattice="5.596 0.000 0.000 0.000 8.952 0.000 0.000 0.000 8.403" Properties=species:S:1:pos:R:3 comment="PBE La2SbPPd6, relaxed" raw_formation_energy_mev_per_atom=-811 total_magnetization_mub_per_cell=0.00 total_energy_ry_per_atom=-0.4311 pbc="T T T"
La 1.399 0.016 2.006
La 1.399 4.460 2.006
La 4.197 4.492 6.397
La 4.197 8.936 6.397
Sb 1.399 6.714 6.586
Sb 4.197 2.238 1.816
P 1.399 2.238 6.132
P 4.197 6.714 2.271
Pd 0.010 6.714 4.206
Pd 0.037 2.238 8.039
Pd 1.399 0.028 5.155
Pd 1.399 4.448 5.155
Pd 2.761 2.238 8.039
Pd 2.788 6.714 4.206
Pd 2.808 2.238 4.197
Pd 2.835 6.714 0.363
Pd 4.197 4.504 3.248
Pd 4.197 8.925 3.248
Pd 5.559 6.714 0.363
Pd 5.586 2.238 4.197

***

16
Lattice="6.247 0.000 0.000 0.000 6.247 0.000 0.000 0.000 6.247" Properties=species:S:1:pos:R:3 comment="PBE Be2SiSb, relaxed" e_above_lowest_polymorph_mev_per_atom=428 raw_formation_energy_mev_per_atom=747 total_magnetization_mub_per_cell=0.00 total_energy_ry_per_atom=-0.2574 pbc="T T T"
Be 1.562 1.562 1.562
Be 1.562 1.562 4.685
Be 1.562 4.685 1.562
Be 1.562 4.685 4.685
Be 4.685 1.562 1.562
Be 4.685 1.562 4.685
Be 4.685 4.685 1.562
Be 4.685 4.685 4.685
Si 0.000 0.000 0.000
Si 0.000 3.123 3.123
Si 3.123 0.000 3.123
Si 3.123 3.123 0.000
Sb 0.000 0.000 3.123
Sb 0.000 3.123 0.000
Sb 3.123 0.000 0.000
Sb 3.123 3.123 3.123

***

5
Lattice="4.762 0.000 0.000 0.000 4.762 0.000 0.000 0.000 4.762" Properties=species:S:1:pos:R:3 comment="PBE OsRh3Pb, relaxed" e_above_lowest_polymorph_mev_per_atom=0 total_magnetization_mub_per_cell=0.00 formation_enthalpy_0k_mev_per_atom=1013 total_energy_ry_per_atom=-0.4693 pbc="T T T"
Os 0.000 0.000 0.000
Rh 0.000 0.000 2.381
Rh 0.000 2.381 0.000
Rh 2.381 0.000 0.000
Pb 2.381 2.381 2.381

***

6
Lattice="0.000 3.774 3.774 3.774 0.000 3.774 3.774 3.774 0.000" Properties=species:S:1:pos:R:3 comment="PBE PmGeIr4, relaxed" total_magnetization_mub_per_cell=0.00 formation_enthalpy_0k_mev_per_atom=-220 total_energy_ry_per_atom=-0.5651 pbc="T T T"
Pm 0.000 0.000 0.000
Ge 1.887 1.887 1.887
Ir 4.712 2.836 2.836
Ir 2.836 4.712 2.836
Ir 2.836 2.836 4.712
Ir 4.712 4.712 4.712

***

14
Lattice="4.240 0.000 0.000 0.000 22.575 0.000 0.000 0.000 3.666" Properties=species:S:1:pos:R:3 comment="PBE Sm3Ga2Hg2, relaxed" total_magnetization_mub_per_cell=0.80 formation_enthalpy_0k_mev_per_atom=-524 total_energy_ry_per_atom=-0.2571 pbc="T T T"
Sm 0.000 0.000 0.000
Sm 0.000 3.725 0.000
Sm 0.000 18.850 0.000
Sm 2.120 7.563 0.000
Sm 2.120 11.287 0.000
Sm 2.120 15.012 0.000
Ga 0.000 6.349 1.833
Ga 0.000 16.226 1.833
Ga 2.120 4.939 1.833
Ga 2.120 17.636 1.833
Hg 0.000 9.480 1.833
Hg 0.000 13.094 1.833
Hg 2.120 1.807 1.833
Hg 2.120 20.768 1.833

***

15
Lattice="7.873 0.000 0.000 -3.936 6.818 0.000 0.000 0.000 4.177" Properties=species:S:1:pos:R:3 comment="PBE Ti3PtC, relaxed" e_above_lowest_polymorph_mev_per_atom=886 total_magnetization_mub_per_cell=0.00 formation_enthalpy_0k_mev_per_atom=61 total_energy_ry_per_atom=-0.5681 pbc="T T T"
Ti -1.968 3.409 0.000
Ti 0.000 2.273 1.392
Ti -1.968 5.682 1.392
Ti 1.968 1.136 2.784
Ti 3.936 0.000 0.000
Ti 1.968 3.409 0.000
Ti 1.968 5.682 1.392
Ti 5.905 1.136 2.784
Ti 3.936 4.545 2.784
Pt 0.000 0.000 0.000
Pt 0.000 4.545 2.784
Pt 3.936 2.273 1.392
C 0.000 0.000 2.088
C 0.000 4.545 0.696
C 3.936 2.273 3.480

***

5
Lattice="6.213 0.000 0.000 0.000 6.213 0.000 0.000 0.000 3.041" Properties=species:S:1:pos:R:3 comment="PBE BeAuI2N, relaxed" e_above_lowest_polymorph_mev_per_atom=0 raw_formation_energy_mev_per_atom=477 total_magnetization_mub_per_cell=1.23 total_energy_ry_per_atom=-0.2358 pbc="T T T"
Be 0.000 0.000 0.000
Au 3.107 3.107 1.520
I 0.000 3.107 0.000
I 3.107 0.000 0.000
N 0.000 0.000 1.520

***

| no. | N(E_F) (states/eV/f.u.) |
| --- | --- |
| 1 | 0.7 |
| 2 | 3.7 |
| 3 | 1.2 |
| 4 | 4.8 |
| 5 | 7.9 |
| 6 | 7.0 |
| 7 | 6.2 |
| 8 | 1.5 |